Entry 1:
# NaMnReAg2 PBE-GGA optimized geometry
# ΔE_f ... 2.243 eV/atom
# V ... 18.519 Å³/atom
# M_tot ... 2.26 Bohr magnetons per cell
data_NaMnReAg2
_cell_length_a 4.492
_cell_length_b 4.492
_cell_length_c 4.589
_cell_angle_alpha 90.00
_cell_angle_beta 90.00
_cell_angle_gamma 90.00
_space_group_name_H-M_alt 'P 4/m m m'
_space_group_IT_number 123
_space_group_name_Hall '-P 4 2'
loop_
_atom_site_label
_atom_site_type_symbol
_atom_site_fract_x
_atom_site_fract_y
_atom_site_fract_z
Na1 Na 0.000 0.000 0.000
Mn1 Mn 0.000 0.000 0.500
Re1 Re 0.500 0.500 0.500
Ag1 Ag 0.000 0.500 0.000

Entry 2:
# Cu3Au5 PBE-GGA optimized geometry
# Energy above the lowest structure with this stoichiometry ... 0.000 eV/atom
# ΔE_f ... -0.032 eV/atom
# V ... 15.855 Å³/atom
# M_tot ... 0.00 Bohr magnetons per cell
data_Cu3Au5
_cell_length_a 3.036
_cell_length_b 3.036
_cell_length_c 13.765
_cell_angle_alpha 90.00
_cell_angle_beta 90.00
_cell_angle_gamma 90.00
_space_group_name_H-M_alt 'P 4/m m m'
_space_group_IT_number 123
_space_group_name_Hall '-P 4 2'
loop_
_atom_site_label
_atom_site_type_symbol
_atom_site_fract_x
_atom_site_fract_y
_atom_site_fract_z
Cu1 Cu 0.000 0.000 0.000
Cu2 Cu 0.500 0.500 0.381
Au1 Au 0.000 0.000 0.263
Au2 Au 0.000 0.000 0.500
Au3 Au 0.500 0.500 0.117

Entry 3:
# SrLaHgRu2 PBE-GGA optimized geometry
# ΔE_f ... 1.091 eV/atom
# V ... 29.525 Å³/atom
# M_tot ... 1.20 Bohr magnetons per cell
data_SrLaHgRu2
_cell_length_a 5.207
_cell_length_b 5.207
_cell_length_c 5.445
_cell_angle_alpha 90.00
_cell_angle_beta 90.00
_cell_angle_gamma 90.00
_space_group_name_H-M_alt 'P 4/m m m'
_space_group_IT_number 123
_space_group_name_Hall '-P 4 2'
loop_
_atom_site_label
_atom_site_type_symbol
_atom_site_fract_x
_atom_site_fract_y
_atom_site_fract_z
Sr1 Sr 0.000 0.000 0.000
La1 La 0.500 0.500 0.000
Hg1 Hg 0.500 0.500 0.500
Ru1 Ru 0.000 0.500 0.500

Entry 4:
# TiGaBr2 PBE-GGA optimized geometry
# Energy above the lowest structure with this stoichiometry ... 0.398 eV/atom
# V ... 26.567 Å³/atom
# M_tot ... 2.79 Bohr magnetons per cell
# ΔE_f (raw) ... -15.5 kJ/mol of atoms
data_TiGaBr2
_cell_length_a 3.5363
_cell_length_b 3.5363
_cell_length_c 29.4371
_cell_angle_alpha 90.00
_cell_angle_beta 90.00
_cell_angle_gamma 120.00
_space_group_name_H-M_alt 'R -3 m'
_space_group_IT_number 166
_space_group_name_Hall '-R 3 2"'
loop_
_atom_site_label
_atom_site_type_symbol
_atom_site_fract_x
_atom_site_fract_y
_atom_site_fract_z
Ti1 Ti 0.0000 0.0000 0.0000
Ga1 Ga 0.0000 0.0000 0.5000
Br1 Br 0.0000 0.0000 0.0821

Entry 5:
# CsP2IrO PBE-GGA optimized geometry
# Energy above the lowest structure with this stoichiometry ... 0.000 eV/atom
# V ... 21.548 Å³/atom
# M_tot ... 0.46 Bohr magnetons per cell
# ΔE_f (raw) ... 25.1 kJ/mol of atoms
data_CsP2IrO
_cell_length_a 4.528
_cell_length_b 4.528
_cell_length_c 5.255
_cell_angle_alpha 90.00
_cell_angle_beta 90.00
_cell_angle_gamma 90.00
_space_group_name_H-M_alt 'P 4/m m m'
_space_group_IT_number 123
_space_group_name_Hall '-P 4 2'
loop_
_atom_site_label
_atom_site_type_symbol
_atom_site_fract_x
_atom_site_fract_y
_atom_site_fract_z
Cs1 Cs 0.000 0.000 0.000
P1 P 0.000 0.500 0.500
Ir1 Ir 0.500 0.500 0.500
O1 O 0.500 0.500 0.000

Entry 6:
# SrLiAl2Ga4 PBE-GGA optimized geometry
# ΔE_f ... -0.230 eV/atom
# V ... 20.308 Å³/atom
# M_tot ... 0.00 Bohr magnetons per cell
data_SrLiAl2Ga4
_cell_length_a 4.5173
_cell_length_b 4.5173
_cell_length_c 27.5790
_cell_angle_alpha 90.00
_cell_angle_beta 90.00
_cell_angle_gamma 120.00
_space_group_name_H-M_alt 'R -3 m'
_space_group_IT_number 166
_space_group_name_Hall '-R 3 2"'
loop_
_atom_site_label
_atom_site_type_symbol
_atom_site_fract_x
_atom_site_fract_y
_atom_site_fract_z
Sr1 Sr 0.0000 0.0000 0.0000
Li1 Li 0.0000 0.0000 0.5000
Al1 Al 0.0000 0.0000 0.2353
Ga1 Ga 0.0000 0.0000 0.1323
Ga2 Ga 0.0000 0.0000 0.4038

Entry 7:
# Hg2SeIBr PBE-GGA optimized geometry
# V ... 37.204 Å³/atom
# M_tot ... 0.00 Bohr magnetons per cell
# ΔE_f (raw) ... -28.8 kJ/mol of atoms
data_Hg2SeIBr
_cell_length_a 14.262
_cell_length_b 4.459
_cell_length_c 12.848
_cell_angle_alpha 90.00
_cell_angle_beta 114.40
_cell_angle_gamma 90.00
_space_group_name_H-M_alt 'C 1 2/m 1'
_space_group_IT_number 12
loop_
_space_group_symop_operation_xyz
'x,y,z'
'-x,-y,-z'
'-x,y,-z'
'x,-y,z'
'x+1/2,y+1/2,z'
'-x+1/2,-y+1/2,-z'
'-x+1/2,y+1/2,-z'
'x+1/2,-y+1/2,z'
loop_
_atom_site_label
_atom_site_type_symbol
_atom_site_fract_x
_atom_site_fract_y
_atom_site_fract_z
Hg1 Hg 0.045 0.000 0.372
Hg2 Hg 0.150 0.500 0.856
Se1 Se 0.041 0.500 0.253
I1 I 0.166 0.000 0.611
Br1 Br 0.156 0.000 0.050

Entry 8:
# Ho2Fe17N3 PBE-GGA optimized geometry
# V ... 12.264 Å³/atom
# M_tot ... 78.07 Bohr magnetons per cell
# ΔE_f (raw) ... -22.4 kJ/mol of atoms
data_Ho2Fe17N3
_cell_length_a 8.6265
_cell_length_b 8.6265
_cell_length_c 8.3735
_cell_angle_alpha 90.00
_cell_angle_beta 90.00
_cell_angle_gamma 120.00
_space_group_name_H-M_alt 'P 63/m m c'
_space_group_IT_number 194
_space_group_name_Hall '-P 6c 2c'
loop_
_atom_site_label
_atom_site_type_symbol
_atom_site_fract_x
_atom_site_fract_y
_atom_site_fract_z
Ho1 Ho 0.0000 0.0000 0.2500
Ho2 Ho 0.3333 0.6667 0.2500
Fe1 Fe 0.0000 0.5000 0.0000
Fe2 Fe 0.0528 0.3810 0.7500
Fe3 Fe 0.1692 0.3384 0.0204
Fe4 Fe 0.3333 0.6667 0.6076
N1 N 0.1636 0.3273 0.2500

Entry 9:
# Cr2CdNi PBE-GGA optimized geometry
# ΔE_f ... 0.459 eV/atom
# V ... 13.393 Å³/atom
# M_tot ... 0.00 Bohr magnetons per cell
data_Cr2CdNi
_cell_length_a 3.122
_cell_length_b 3.930
_cell_length_c 8.733
_cell_angle_alpha 90.00
_cell_angle_beta 90.00
_cell_angle_gamma 90.00
_space_group_name_H-M_alt 'I m m m'
_space_group_IT_number 71
_space_group_name_Hall '-I 2 2'
loop_
_atom_site_label
_atom_site_type_symbol
_atom_site_fract_x
_atom_site_fract_y
_atom_site_fract_z
Cr1 Cr 0.000 0.000 0.242
Cd1 Cd 0.000 0.500 0.000
Ni1 Ni 0.000 0.500 0.500

Entry 10:
# TiCrPdCl2 PBE-GGA optimized geometry
# V ... 21.987 Å³/atom
# M_tot ... 3.96 Bohr magnetons per cell
# ΔE_f (raw) ... -2.3 kJ/mol of atoms
data_TiCrPdCl2
_cell_length_a 4.628
_cell_length_b 4.628
_cell_length_c 5.132
_cell_angle_alpha 90.00
_cell_angle_beta 90.00
_cell_angle_gamma 90.00
_space_group_name_H-M_alt 'P 4/m m m'
_space_group_IT_number 123
_space_group_name_Hall '-P 4 2'
loop_
_atom_site_label
_atom_site_type_symbol
_atom_site_fract_x
_atom_site_fract_y
_atom_site_fract_z
Ti1 Ti 0.000 0.000 0.000
Cr1 Cr 0.500 0.500 0.500
Pd1 Pd 0.000 0.000 0.500
Cl1 Cl 0.000 0.500 0.000

Entry 11:
# La2Nd5Ho6 PBE-GGA optimized geometry
# ΔE_f ... 0.093 eV/atom
# V ... 34.051 Å³/atom
# M_tot ... 0.00 Bohr magnetons per cell
data_La2Nd5Ho6
_cell_length_a 11.812
_cell_length_b 20.701
_cell_length_c 3.621
_cell_angle_alpha 90.00
_cell_angle_beta 90.00
_cell_angle_gamma 90.00
_space_group_name_H-M_alt 'P b a m'
_space_group_IT_number 55
loop_
_space_group_symop_operation_xyz
'x,y,z'
'-x,-y,-z'
'-x,-y,z'
'x,y,-z'
'x+1/2,-y+1/2,-z'
'-x+1/2,y+1/2,z'
'-x+1/2,y+1/2,-z'
'x+1/2,-y+1/2,z'
loop_
_atom_site_label
_atom_site_type_symbol
_atom_site_fract_x
_atom_site_fract_y
_atom_site_fract_z
La1 La 0.173 0.223 0.000
Nd1 Nd 0.000 0.500 0.500
Nd2 Nd 0.086 0.784 0.500
Nd3 Nd 0.201 0.055 0.500
Ho1 Ho 0.063 0.926 0.000
Ho2 Ho 0.072 0.639 0.000
Ho3 Ho 0.184 0.376 0.500

Entry 12:
# BeTl2Se PBE-GGA optimized geometry
# Energy above the lowest structure with this stoichiometry ... 0.473 eV/atom
# V ... 23.704 Å³/atom
# M_tot ... 0.00 Bohr magnetons per cell
# ΔE_f (raw) ... 27.2 kJ/mol of atoms
data_BeTl2Se
_cell_length_a 6.919
_cell_length_b 4.002
_cell_length_c 7.212
_cell_angle_alpha 90.00
_cell_angle_beta 108.27
_cell_angle_gamma 90.00
_space_group_name_H-M_alt 'C 1 2/m 1'
_space_group_IT_number 12
loop_
_space_group_symop_operation_xyz
'x,y,z'
'-x,-y,-z'
'-x,y,-z'
'x,-y,z'
'x+1/2,y+1/2,z'
'-x+1/2,-y+1/2,-z'
'-x+1/2,y+1/2,-z'
'x+1/2,-y+1/2,z'
loop_
_atom_site_label
_atom_site_type_symbol
_atom_site_fract_x
_atom_site_fract_y
_atom_site_fract_z
Be1 Be 0.000 0.000 0.000
Tl1 Tl 0.241 0.500 0.222
Se1 Se 0.000 0.500 0.500

Entry 13:
# Ce3GaIr2 PBE-GGA optimized geometry
# ΔE_f ... -0.699 eV/atom
# V ... 22.597 Å³/atom
# M_tot ... 1.13 Bohr magnetons per cell
data_Ce3GaIr2
_cell_length_a 4.571
_cell_length_b 14.762
_cell_length_c 4.019
_cell_angle_alpha 90.00
_cell_angle_beta 90.00
_cell_angle_gamma 90.00
_space_group_name_H-M_alt 'P m m n'
_space_group_IT_number 59
loop_
_space_group_symop_operation_xyz
'x,y,z'
'-x,-y,-z'
'-x+1/2,-y+1/2,z'
'x+1/2,y+1/2,-z'
'x+1/2,-y,-z'
'-x+1/2,y,z'
'-x,y+1/2,-z'
'x,-y+1/2,z'
loop_
_atom_site_label
_atom_site_type_symbol
_atom_site_fract_x
_atom_site_fract_y
_atom_site_fract_z
Ce1 Ce 0.250 0.074 0.250
Ce2 Ce 0.250 0.750 0.749
Ga1 Ga 0.250 0.250 0.751
Ir1 Ir 0.250 0.612 0.249

Entry 14:
# MnCrCoRu PBE-GGA optimized geometry
# ΔE_f ... 0.118 eV/atom
# V ... 12.543 Å³/atom
# M_tot ... 23.04 Bohr magnetons per cell
data_MnCrCoRu
_cell_length_a 5.855
_cell_length_b 5.855
_cell_length_c 5.855
_cell_angle_alpha 90.00
_cell_angle_beta 90.00
_cell_angle_gamma 90.00
_space_group_name_H-M_alt 'F -4 3 m'
_space_group_IT_number 216
_space_group_name_Hall 'F -4 2 3'
loop_
_atom_site_label
_atom_site_type_symbol
_atom_site_fract_x
_atom_site_fract_y
_atom_site_fract_z
Mn1 Mn 0.000 0.000 0.000
Cr1 Cr 0.000 0.000 0.500
Co1 Co 0.250 0.250 0.250
Ru1 Ru 0.250 0.250 0.750

Entry 15:
# NbC PBE-GGA optimized geometry
# Energy above the lowest structure with this stoichiometry ... 0.101 eV/atom
# ΔE_f ... -0.371 eV/atom
# V ... 11.420 Å³/atom
# M_tot ... 0.00 Bohr magnetons per cell
data_NbC
_cell_length_a 3.1336
_cell_length_b 3.1336
_cell_length_c 5.3714
_cell_angle_alpha 90.00
_cell_angle_beta 90.00
_cell_angle_gamma 120.00
_space_group_name_H-M_alt 'P 63/m m c'
_space_group_IT_number 194
_space_group_name_Hall '-P 6c 2c'
loop_
_atom_site_label
_atom_site_type_symbol
_atom_site_fract_x
_atom_site_fract_y
_atom_site_fract_z
Nb1 Nb 0.3333 0.6667 0.2500
C1 C 0.0000 0.0000 0.0000

Entry 16:
# LiPuAs2 PBE-GGA optimized geometry
# Energy above the lowest structure with this stoichiometry ... 0.177 eV/atom
# ΔE_f ... -0.607 eV/atom
# V ... 20.244 Å³/atom
# M_tot ... 4.83 Bohr magnetons per cell
data_LiPuAs2
_cell_length_a 5.159
_cell_length_b 5.159
_cell_length_c 3.042
_cell_angle_alpha 90.00
_cell_angle_beta 90.00
_cell_angle_gamma 90.00
_space_group_name_H-M_alt 'P 4/m m m'
_space_group_IT_number 123
_space_group_name_Hall '-P 4 2'
loop_
_atom_site_label
_atom_site_type_symbol
_atom_site_fract_x
_atom_site_fract_y
_atom_site_fract_z
Li1 Li 0.000 0.000 0.000
Pu1 Pu 0.500 0.500 0.000
As1 As 0.000 0.500 0.500

Entry 17:
# ZnCu6Ge PBE-GGA optimized geometry
# Energy above the lowest structure with this stoichiometry ... 0.000 eV/atom
# ΔE_f ... -0.014 eV/atom
# V ... 12.614 Å³/atom
# M_tot ... 0.00 Bohr magnetons per cell
data_ZnCu6Ge
_cell_length_a 4.235
_cell_length_b 5.259
_cell_length_c 9.061
_cell_angle_alpha 90.00
_cell_angle_beta 90.00
_cell_angle_gamma 90.00
_space_group_name_H-M_alt 'A m m 2'
_space_group_IT_number 38
loop_
_space_group_symop_operation_xyz
'x,y,z'
'-x,-y,z'
'-x,y,z'
'x,-y,z'
'x,y+1/2,z+1/2'
'-x,-y+1/2,z+1/2'
'-x,y+1/2,z+1/2'
'x,-y+1/2,z+1/2'
loop_
_atom_site_label
_atom_site_type_symbol
_atom_site_fract_x
_atom_site_fract_y
_atom_site_fract_z
Zn1 Zn 0.000 0.000 0.000
Cu1 Cu 0.000 0.000 0.503
Cu2 Cu 0.000 0.247 0.749
Cu3 Cu 0.500 0.000 0.832
Cu4 Cu 0.500 0.249 0.583
Ge1 Ge 0.500 0.000 0.333

Entry 18:
# GaOsW PBE-GGA optimized geometry
# Energy above the lowest structure with this stoichiometry ... 0.000 eV/atom
# ΔE_f ... 0.014 eV/atom
# V ... 14.854 Å³/atom
# M_tot ... 0.00 Bohr magnetons per cell
data_GaOsW
_cell_length_a 2.958
_cell_length_b 2.958
_cell_length_c 10.182
_cell_angle_alpha 90.00
_cell_angle_beta 90.00
_cell_angle_gamma 90.00
_space_group_name_H-M_alt 'I 4 m m'
_space_group_IT_number 107
_space_group_name_Hall 'I 4 -2'
loop_
_atom_site_label
_atom_site_type_symbol
_atom_site_fract_x
_atom_site_fract_y
_atom_site_fract_z
Ga1 Ga 0.000 0.000 0.000
Os1 Os 0.000 0.000 0.342
W1 W 0.000 0.000 0.675

Entry 19:
# Ba2VBi2H4 PBE-GGA optimized geometry
# DFT total energy ... -3.893 eV per atom
# V ... 22.315 Å³/atom
# M_tot ... 2.66 Bohr magnetons per cell
data_Ba2VBi2H4
_cell_length_a 6.958
_cell_length_b 6.958
_cell_length_c 8.297
_cell_angle_alpha 90.00
_cell_angle_beta 90.00
_cell_angle_gamma 90.00
_space_group_name_H-M_alt 'I 4/m m m'
_space_group_IT_number 139
_space_group_name_Hall '-I 4 2'
loop_
_atom_site_label
_atom_site_type_symbol
_atom_site_fract_x
_atom_site_fract_y
_atom_site_fract_z
Ba1 Ba 0.000 0.500 0.250
V1 V 0.000 0.000 0.000
Bi1 Bi 0.000 0.000 0.327
H1 H 0.184 0.184 0.000

Entry 20:
# LaHg4Bi PBE-GGA optimized geometry
# ΔE_f ... -0.193 eV/atom
# V ... 27.488 Å³/atom
# M_tot ... 0.00 Bohr magnetons per cell
data_LaHg4Bi
_cell_length_a 8.705
_cell_length_b 8.705
_cell_length_c 8.705
_cell_angle_alpha 90.00
_cell_angle_beta 90.00
_cell_angle_gamma 90.00
_space_group_name_H-M_alt 'F -4 3 m'
_space_group_IT_number 216
_space_group_name_Hall 'F -4 2 3'
loop_
_atom_site_label
_atom_site_type_symbol
_atom_site_fract_x
_atom_site_fract_y
_atom_site_fract_z
La1 La 0.000 0.000 0.000
Hg1 Hg 0.124 0.124 0.624
Bi1 Bi 0.250 0.250 0.250